Density functional theory data (PBE with a Hubbard U) for a geometry-optimized YP2WO structure.

raw total energy = -5.28 eV per atom
space group = P4/mmm (123)
Fermi-level density of states = 4.92 states/eV/f.u.

Unit cell a=5.3047 b=5.3047 c=4.1154 alpha=90.00 beta=90.00 gamma=90.00
Each line ends with the local moment (μB).
Atoms (fractional coordinates):
Y 0.0000 0.0000 0.0000  -0.01
P 0.0000 0.5000 0.0000  0.05
P 0.5000 0.0000 0.0000  0.05
O 0.0000 0.0000 0.5000  -0.10
W 0.5000 0.5000 0.5000  0.34